PBE-GGA Cd4CuPd7, relaxed; DFT formation energy = -87 meV/atom; calculated total energy = -0.1383 hartree per atom; symmetry = No. 12; volume = 18.1 A^3/atom
1.0
4.831 0.000 0.000
2.415 9.132 0.071
2.415 0.466 4.920
Cd Cu Pd
4 1 7
Direct
0.607 0.222 0.564
0.393 0.778 0.436
0.839 0.628 0.695
0.161 0.372 0.305
0.000 0.000 0.000
0.793 0.921 0.494
0.207 0.079 0.506
0.089 0.709 0.113
0.911 0.291 0.887
0.368 0.484 0.780
0.500 0.000 0.000
0.632 0.516 0.220

PBE-GGA CdCu2Pd2, relaxed; DFT formation energy = -120 meV/atom; calculated total energy = -0.1477 hartree per atom; symmetry = No. 127; volume = 15.4 A^3/atom; energy above the most stable polymorph in this dataset = 0 meV per atom
1.0
-3.771 -2.507 -5.622
5.798 0.768 -4.232
0.845 -2.749 0.659
Cu Pd Cd
4 4 2
Direct
0.378 0.878 0.000
0.878 0.622 0.000
0.622 0.122 0.000
0.122 0.378 0.000
0.173 0.673 0.500
0.673 0.827 0.500
0.827 0.327 0.500
0.327 0.173 0.500
0.000 0.000 0.000
0.500 0.500 0.000

PBE-GGA CdCu2Pd7, relaxed; DFT formation energy = 362 meV/atom; calculated total energy = -0.1537 hartree per atom; symmetry = No. 65; volume = 19.3 A^3/atom
1.0
4.362 0.000 0.000
0.000 7.133 -0.211
0.000 -3.336 6.309
Cd Cu Pd
1 2 7
Direct
0.000 0.000 0.000
0.500 0.699 0.301
0.500 0.301 0.699
0.000 0.783 0.217
0.000 0.217 0.783
0.500 0.070 0.302
0.500 0.930 0.698
0.500 0.302 0.070
0.500 0.698 0.930
0.500 0.500 0.500

PBE-GGA CdCuPd, relaxed; DFT formation energy = -21 meV/atom; calculated total energy = -0.1258 hartree per atom; symmetry = No. 69; volume = 17.6 A^3/atom; energy above the most stable polymorph in this dataset = 144 meV per atom
1.0
4.741 0.000 0.000
2.370 7.086 0.000
2.370 0.000 6.277
Cd Cu Pd
4 4 4
Direct
0.486 0.785 0.244
0.270 0.215 0.244
0.730 0.785 0.756
0.514 0.215 0.756
0.821 0.000 0.359
0.913 0.173 0.000
0.087 0.827 0.000
0.179 0.000 0.641
0.020 0.622 0.339
0.642 0.378 0.339
0.358 0.622 0.661
0.980 0.378 0.661

PBE-GGA CdCu5Pd8, relaxed; DFT formation energy = 18 meV/atom; calculated total energy = -0.1645 hartree per atom; symmetry = No. 82; volume = 15.4 A^3/atom
1.0
6.546 -0.025 0.042
-2.238 6.151 -0.042
-2.070 -3.122 5.368
Cd Cu Pd
1 5 8
Direct
0.250 0.500 0.750
0.040 0.343 0.130
0.870 0.910 0.213
0.787 0.657 0.698
0.500 0.000 0.500
0.302 0.090 0.960
0.142 0.742 0.076
0.924 0.066 0.666
0.743 0.261 0.341
0.659 0.402 0.920
0.518 0.598 0.257
0.601 0.934 0.858
0.334 0.258 0.399
0.080 0.739 0.482

PBE-GGA CdCu6Pd12, relaxed; DFT formation energy = 55 meV/atom; calculated total energy = -0.1678 hartree per atom; symmetry = No. 166; volume = 15.4 A^3/atom; energy above the most stable polymorph in this dataset = 162 meV per atom
1.0
6.854 -0.277 -0.332
-1.313 6.733 -0.332
-1.313 -1.530 6.565
Cd Cu Pd
1 6 12
Direct
0.000 0.000 0.000
0.831 0.831 0.577
0.423 0.169 0.169
0.169 0.423 0.169
0.169 0.169 0.423
0.577 0.831 0.831
0.831 0.577 0.831
0.807 0.422 0.422
0.422 0.807 0.422
0.422 0.422 0.807
0.193 0.578 0.578
0.578 0.193 0.578
0.578 0.578 0.193
0.000 0.737 0.263
0.263 0.737 0.000
0.737 0.000 0.263
0.000 0.263 0.737
0.737 0.263 0.000
0.263 0.000 0.737

PBE-GGA Cd2Cu3Pd4, relaxed; DFT formation energy = -199 meV/atom; calculated total energy = -0.1498 hartree per atom; symmetry = No. 2; volume = 15.3 A^3/atom
1.0
-1.378 3.785 0.315
-3.784 0.996 -2.749
-6.731 -2.779 4.021
Cd Cu Pd
2 3 4
Direct
0.320 0.359 0.771
0.680 0.641 0.229
0.347 0.306 0.444
0.000 0.000 0.000
0.653 0.694 0.556
0.659 0.681 0.886
0.021 0.958 0.344
0.979 0.042 0.656
0.341 0.319 0.114

PBE-GGA CdCu8Pd6, relaxed; DFT formation energy = 27 meV/atom; calculated total energy = -0.1579 hartree per atom; symmetry = No. 148; volume = 14.8 A^3/atom
1.0
-4.416 -2.480 -4.971
-4.142 -5.589 1.402
-6.507 0.441 0.496
Cd Cu Pd
1 8 6
Direct
0.000 0.000 0.000
0.541 0.182 0.404
0.818 0.128 0.596
0.128 0.459 0.596
0.764 0.764 0.707
0.236 0.236 0.293
0.872 0.541 0.404
0.182 0.872 0.404
0.459 0.818 0.596
0.353 0.147 0.880
0.853 0.381 0.120
0.381 0.647 0.120
0.619 0.353 0.880
0.147 0.619 0.880
0.647 0.853 0.120

PBE-GGA Pm2CdCu2Pd5, relaxed; DFT formation energy = -601 meV/atom; calculated total energy = -0.1859 hartree per atom; symmetry = No. 127; volume = 18.1 A^3/atom
1.0
-0.245 -3.878 -0.843
9.340 -0.961 1.709
-1.870 -1.874 9.169
Pm Cd Cu Pd
4 2 4 10
Direct
0.000 0.677 0.177
0.000 0.323 0.823
0.000 0.177 0.323
0.000 0.823 0.677
0.000 0.000 0.000
0.000 0.500 0.500
0.000 0.119 0.619
0.000 0.881 0.381
0.000 0.619 0.881
0.000 0.381 0.119
0.500 0.209 0.070
0.500 0.791 0.930
0.500 0.070 0.791
0.500 0.709 0.430
0.500 0.930 0.209
0.500 0.291 0.570
0.500 0.570 0.709
0.500 0.430 0.291
0.500 0.500 0.000
0.500 0.000 0.500

PBE-GGA PrCd2CuPd4, relaxed; DFT formation energy = -418 meV/atom; calculated total energy = -0.1599 hartree per atom; symmetry = No. 166; volume = 18.7 A^3/atom
1.0
4.610 0.000 0.000
2.305 3.993 0.000
2.305 1.331 8.110
Pr Cd Cu Pd
1 2 1 4
Direct
0.000 0.000 0.000
0.759 0.759 0.724
0.241 0.241 0.276
0.500 0.500 0.500
0.395 0.395 0.816
0.873 0.873 0.381
0.127 0.127 0.619
0.605 0.605 0.184

PBE-GGA Pr2CdCu2Pd5, relaxed; DFT formation energy = -574 meV/atom; calculated total energy = -0.1851 hartree per atom; symmetry = No. 127; volume = 18.5 A^3/atom
1.0
-0.316 -1.774 3.562
3.571 -8.117 -3.726
8.899 2.891 2.230
Pr Cd Cu Pd
4 2 4 10
Direct
0.000 0.678 0.178
0.000 0.322 0.822
0.000 0.178 0.322
0.000 0.822 0.678
0.000 0.000 0.000
0.000 0.500 0.500
0.000 0.118 0.618
0.000 0.882 0.382
0.000 0.618 0.882
0.000 0.382 0.118
0.500 0.210 0.068
0.500 0.790 0.932
0.500 0.068 0.790
0.500 0.710 0.432
0.500 0.932 0.210
0.500 0.290 0.568
0.500 0.568 0.710
0.500 0.432 0.290
0.500 0.500 0.000
0.500 0.000 0.500

PBE-GGA PrCdCuPd3, relaxed; DFT formation energy = -323 meV/atom; calculated total energy = -0.1672 hartree per atom; symmetry = No. 63; volume = 19.5 A^3/atom
1.0
6.130 0.000 0.000
0.000 5.804 0.000
0.000 -2.902 6.590
Pr Cd Cu Pd
2 2 2 6
Direct
0.750 0.320 0.640
0.250 0.680 0.360
0.250 0.357 0.713
0.750 0.643 0.287
0.250 0.895 0.789
0.750 0.105 0.211
0.250 0.147 0.294
0.000 0.257 0.000
0.500 0.743 0.000
0.500 0.257 0.000
0.000 0.743 0.000
0.750 0.853 0.706

Question: Which value of volume does entry 3 give?
Answer: 19.3 A^3/atom